Record 1
A plane-wave DFT calculation with PBE was carried out for a geometry-optimized HfTi3Se3 structure.

Summary:
Symmetry = R-3 (148)

Cell lengths 7.5758, 7.5758, 7.5758 Å; angles 54.18, 54.18, 54.18 degrees
Element x y z (fractional)
Hf  0.1656  0.1656  0.1656
Hf  0.8344  0.8344  0.8344
Ti  0.0251  0.2664  0.5780
Ti  0.2664  0.5780  0.0251
Ti  0.4220  0.9749  0.7336
Ti  0.5780  0.0251  0.2664
Ti  0.7336  0.4220  0.9749
Ti  0.9749  0.7336  0.4220
Se  0.1504  0.3965  0.7265
Se  0.2735  0.8496  0.6035
Se  0.3965  0.7265  0.1504
Se  0.6035  0.2735  0.8496
Se  0.7265  0.1504  0.3965
Se  0.8496  0.6035  0.2735

=====

Record 2
A plane-wave DFT calculation with PBE was carried out for a geometry-optimized HfTiSe2 structure.

Summary:
Energy above the most stable polymorph in this dataset = 0 meV/atom
Symmetry = P-3m1 (164)

Cell lengths 3.4442, 3.4442, 7.1428 Å; angles 90.00, 90.00, 120.00 degrees
Element x y z (fractional)
Hf  0.0000  0.0000  0.0000
Ti  0.0000  0.0000  0.5000
Se  0.3333  0.6667  0.2619
Se  0.6667  0.3333  0.7381

=====

Record 3
A plane-wave DFT calculation with PBE was carried out for a geometry-optimized HfTi2Se4 structure.

Summary:
Symmetry = C2/m (12)

Cell lengths 7.1941, 7.1941, 6.5849 Å; angles 116.86, 116.86, 28.81 degrees
Element x y z (fractional)
Hf  0.0000  0.0000  0.0000
Ti  0.2517  0.2517  0.3069
Ti  0.7483  0.7483  0.6931
Se  0.1112  0.1112  0.4546
Se  0.3600  0.3600  0.0284
Se  0.6400  0.6400  0.9716
Se  0.8888  0.8888  0.5454

=====

Record 4
A plane-wave DFT calculation with PBE was carried out for a geometry-optimized Hf2TiSe structure.

Summary:
Symmetry = R3m (160)

Cell lengths 8.7057, 8.7057, 8.7057 Å; angles 21.99, 21.99, 21.99 degrees
Element x y z (fractional)
Hf  0.0000  0.0000  0.0000
Hf  0.1772  0.1772  0.1772
Ti  0.4213  0.4213  0.4213
Se  0.5892  0.5892  0.5892

=====

Record 5
A plane-wave DFT calculation with PBE was carried out for a geometry-optimized HfTiSe structure.

Summary:
Energy above the most stable polymorph in this dataset = 0 meV/atom
Symmetry = C2/m (12)

Cell lengths 5.1993, 5.1993, 7.0773 Å; angles 108.26, 108.26, 39.43 degrees
Element x y z (fractional)
Hf  0.1294  0.1294  0.2923
Hf  0.8706  0.8706  0.7077
Ti  0.3729  0.3729  0.0451
Ti  0.6271  0.6271  0.9549
Se  0.1503  0.1503  0.6918
Se  0.8497  0.8497  0.3082

=====

Record 6
A plane-wave DFT calculation with PBE was carried out for a geometry-optimized HfTi3Se structure.

Summary:
Energy above the most stable polymorph in this dataset = 205 meV/atom
Symmetry = Imma (74)

Cell lengths 7.0630, 7.0630, 7.0630 Å; angles 141.70, 117.74, 75.51 degrees
Element x y z (fractional)
Hf  0.3900  0.1400  0.2500
Hf  0.6100  0.8600  0.7500
Ti  0.1024  0.8524  0.2500
Ti  0.1580  0.6675  0.4904
Ti  0.3229  0.3325  0.9904
Ti  0.6771  0.6675  0.0096
Ti  0.8420  0.3325  0.5096
Ti  0.8976  0.1476  0.7500
Se  0.2515  0.5015  0.7500
Se  0.7485  0.4985  0.2500

=====

Record 7
A plane-wave DFT calculation with PBE was carried out for a geometry-optimized HfTi5Se4 structure.

Summary:
Symmetry = Pmmn (59)

Cell lengths 7.9784, 8.2224, 5.8750 Å; angles 90.00, 90.00, 90.00 degrees
Element x y z (fractional)
Hf  0.2500  0.2500  0.0966
Hf  0.7500  0.7500  0.9034
Ti  0.0333  0.0561  0.7492
Ti  0.0333  0.4439  0.7492
Ti  0.2500  0.7500  0.3730
Ti  0.4667  0.0561  0.7492
Ti  0.4667  0.4439  0.7492
Ti  0.5333  0.5561  0.2508
Ti  0.5333  0.9439  0.2508
Ti  0.7500  0.2500  0.6270
Ti  0.9667  0.5561  0.2508
Ti  0.9667  0.9439  0.2508
Se  0.0113  0.2500  0.4004
Se  0.2500  0.5644  0.0260
Se  0.2500  0.9356  0.0260
Se  0.4887  0.2500  0.4004
Se  0.5113  0.7500  0.5996
Se  0.7500  0.0644  0.9740
Se  0.7500  0.4356  0.9740
Se  0.9887  0.7500  0.5996

=====

Record 8
A plane-wave DFT calculation with PBE was carried out for a geometry-optimized HfTi3Se structure.

Summary:
Energy above the most stable polymorph in this dataset = 0 meV/atom
Symmetry = Pnma (62)

Cell lengths 8.7315, 3.4309, 11.7922 Å; angles 90.00, 90.00, 90.00 degrees
Element x y z (fractional)
Hf  0.1545  0.2500  0.0023
Hf  0.3455  0.7500  0.5023
Hf  0.6545  0.2500  0.4977
Hf  0.8455  0.7500  0.9977
Ti  0.0625  0.2500  0.4148
Ti  0.0723  0.7500  0.2176
Ti  0.1761  0.7500  0.7928
Ti  0.3239  0.2500  0.2928
Ti  0.4277  0.2500  0.7176
Ti  0.4375  0.7500  0.9148
Ti  0.5625  0.2500  0.0852
Ti  0.5723  0.7500  0.2824
Ti  0.6761  0.7500  0.7072
Ti  0.8239  0.2500  0.2072
Ti  0.9277  0.2500  0.7824
Ti  0.9375  0.7500  0.5852
Se  0.1539  0.2500  0.6275
Se  0.3461  0.7500  0.1275
Se  0.6539  0.2500  0.8725
Se  0.8461  0.7500  0.3725

=====

Record 9
A plane-wave DFT calculation with PBE was carried out for a geometry-optimized HfTiSe2 structure.

Summary:
Energy above the most stable polymorph in this dataset = 206 meV/atom
Symmetry = Fm-3m (225)

Cell lengths 4.6282, 4.6282, 4.6282 Å; angles 60.00, 60.00, 60.00 degrees
Element x y z (fractional)
Hf  0.0000  0.0000  0.0000
Ti  0.5000  0.5000  0.5000
Se  0.2500  0.2500  0.2500
Se  0.7500  0.7500  0.7500

=====

Record 10
A plane-wave DFT calculation with PBE was carried out for a geometry-optimized HfTiSe structure.

Summary:
Energy above the most stable polymorph in this dataset = 467 meV/atom
Symmetry = P-6m2 (187)

Cell lengths 4.4217, 4.4217, 3.3510 Å; angles 90.00, 90.00, 120.00 degrees
Element x y z (fractional)
Hf  0.0000  0.0000  0.0000
Ti  0.6667  0.3333  0.5000
Se  0.3333  0.6667  0.5000

=====

Record 11
A plane-wave DFT calculation with PBE was carried out for a geometry-optimized HfTi2Tl3Se6 structure.

Summary:
Symmetry = C2/m (12)

Cell lengths 6.3044, 6.3044, 9.0427 Å; angles 96.68, 96.68, 119.99 degrees
Element x y z (fractional)
Hf  0.0000  0.0000  0.0000
Ti  0.3334  0.6666  0.0000
Ti  0.6666  0.3334  0.0000
Tl  0.1656  0.8344  0.5000
Tl  0.5000  0.5000  0.5000
Tl  0.8344  0.1656  0.5000
Se  0.0596  0.4020  0.1783
Se  0.2829  0.2829  0.8218
Se  0.4020  0.0596  0.1783
Se  0.5980  0.9404  0.8217
Se  0.7171  0.7171  0.1782
Se  0.9404  0.5980  0.8217

=====

Record 12
A plane-wave DFT calculation with PBE was carried out for a geometry-optimized HfTlSe2 structure.

Summary:
Symmetry = C2/m (12)

Cell lengths 3.7265, 3.7265, 8.7792 Å; angles 90.09, 90.09, 59.99 degrees
Element x y z (fractional)
Hf  0.0000  0.0000  0.0000
Tl  0.0000  0.0000  0.5000
Se  0.3335  0.3335  0.1844
Se  0.6665  0.6665  0.8156

=====

Record 13
A plane-wave DFT calculation with PBE was carried out for a geometry-optimized HfTlSe2 structure.

Summary:
Symmetry = P1 (1)

Cell lengths 3.7178, 3.7239, 9.1096 Å; angles 78.90, 78.24, 60.07 degrees
Element x y z (fractional)
Hf  0.0000  0.0000  0.0000
Tl  0.8247  0.8664  0.4898
Se  0.3975  0.3878  0.8171
Se  0.6028  0.6120  0.1826

=====

Formation energy from raw total energies in meV per atom, matching the order above: -798; -1090; -1184; -401; -708; -271; -652; -477; -883; -241; -905; -1014; -1000
Total moment in μB/f.u., matching the order above: 0.0; 0.0; 0.0; 0.0; 0.0; 0.0; 0.0; 0.0; 0.0; 0.0; 0.0; 0.0; 0.0
Mass density in g/cm³, matching the order above: 7.0; 8.7; 6.7; 9.9; 8.8; 7.0; 6.3; 7.5; 9.1; 8.9; 7.5; 8.5; 8.4